Record 1
CaPm12Sn7: relaxed, PBE.

Lattice parameters (Å, degrees): 15.8847 15.8847 8.8582 90.00 90.00 120.00
Space group R-3m (No. 166, hexagonal axes)
One atom of each set of equivalent atoms:
Ca 0.0000 0.0000 0.0000 [3 per cell]
Pm 0.0000 0.2743 0.0000 [18 per cell]
Pm 0.1084 0.2168 0.3755 [18 per cell]
Sn 0.0000 0.0000 0.5000 [3 per cell]
Sn 0.1087 0.2174 0.7537 [18 per cell]

Values from the calculation:
The value obtained for the formation energy from the elements is -443 meV/atom.


Record 2
CaPm2Sn9: relaxed, PBE.

Lattice parameters (Å, degrees): 4.8290 4.8290 13.8970 90.00 90.00 90.00
Space group P4/mmm (No. 123)
One atom of each set of equivalent atoms:
Ca 0.0000 0.0000 0.0000 [1 per cell]
Pm 0.0000 0.0000 0.3363 [2 per cell]
Sn 0.0000 0.5000 0.1657 [4 per cell]
Sn 0.0000 0.5000 0.5000 [2 per cell]
Sn 0.5000 0.5000 0.0000 [1 per cell]
Sn 0.5000 0.5000 0.3322 [2 per cell]

Values from the calculation:
The value obtained for the formation energy from the elements is -457 meV/atom.


Record 3
CaPmSn2: relaxed, PBE.

Lattice parameters (Å, degrees): 3.5789 3.5789 35.0032 90.00 90.00 120.00
Space group R-3m (No. 166, hexagonal axes)
One atom of each set of equivalent atoms:
Ca 0.0000 0.0000 0.0000 [3 per cell]
Pm 0.0000 0.0000 0.5000 [3 per cell]
Sn 0.0000 0.0000 0.0904 [6 per cell]

Values from the calculation:
The value obtained for the formation energy from the elements is -129 meV/atom.


Record 4
Ca2Pm2Sn5: relaxed, PBE.

Lattice parameters (Å, degrees): 16.7927 8.1835 8.2756 90.00 90.00 90.00
Space group Cmce (No. 64)
One atom of each set of equivalent atoms:
Ca 0.1918 0.0000 0.0000 [8 per cell]
Pm 0.0000 0.1729 0.3257 [8 per cell]
Sn 0.0000 0.0000 0.0000 [4 per cell]
Sn 0.1329 0.1263 0.6243 [16 per cell]

Values from the calculation:
The value obtained for the formation energy from the elements is -518 meV/atom.


Record 5
CaPmSn3: relaxed, PBE.

Lattice parameters (Å, degrees): 8.0371 6.3696 11.9031 90.00 104.35 90.00
Space group P2_1/c (No. 14)
One atom of each set of equivalent atoms:
Ca 0.1415 0.1221 0.3652 [4 per cell]
Pm 0.3590 0.6214 0.6010 [4 per cell]
Sn 0.0288 0.1732 0.0853 [4 per cell]
Sn 0.2587 0.5952 0.3015 [4 per cell]
Sn 0.4502 0.1158 0.6021 [4 per cell]

Values from the calculation:
The value obtained for the formation energy from the elements is -579 meV/atom.


Record 6
SrCaPmSn: relaxed, PBE.

Lattice parameters (Å, degrees): 8.0695 8.0695 8.0695 90.00 90.00 90.00
Space group F-43m (No. 216)
One atom of each set of equivalent atoms:
Sr 0.0000 0.0000 0.0000 [4 per cell]
Ca 0.2500 0.2500 0.2500 [4 per cell]
Pm 0.0000 0.0000 0.5000 [4 per cell]
Sn 0.2500 0.2500 0.7500 [4 per cell]

Values from the calculation:
The value obtained for the formation energy from the elements is -235 meV/atom.


Record 7
CaTbPmSn: relaxed, PBE.

Lattice parameters (Å, degrees): 7.7786 7.7786 7.7786 90.00 90.00 90.00
Space group F-43m (No. 216)
One atom of each set of equivalent atoms:
Ca 0.0000 0.0000 0.0000 [4 per cell]
Tb 0.2500 0.2500 0.2500 [4 per cell]
Pm 0.2500 0.2500 0.7500 [4 per cell]
Sn 0.0000 0.0000 0.5000 [4 per cell]

Values from the calculation:
The value obtained for the formation energy from the elements is -259 meV/atom.


Record 8
CaPmTlSn: relaxed, PBE.

Lattice parameters (Å, degrees): 7.7430 7.7430 7.7430 90.00 90.00 90.00
Space group F-43m (No. 216)
One atom of each set of equivalent atoms:
Ca 0.0000 0.0000 0.0000 [4 per cell]
Pm 0.0000 0.0000 0.5000 [4 per cell]
Tl 0.2500 0.2500 0.7500 [4 per cell]
Sn 0.2500 0.2500 0.2500 [4 per cell]

Values from the calculation:
The value obtained for the formation energy from the elements is -500 meV/atom.


Record 9
CaPm2Zn2Sn2: relaxed, PBE.

Lattice parameters (Å, degrees): 4.7218 4.7218 29.0350 90.00 90.00 120.00
Space group R-3m (No. 166, hexagonal axes)
One atom of each set of equivalent atoms:
Ca 0.0000 0.0000 0.0000 [3 per cell]
Pm 0.0000 0.0000 0.1303 [6 per cell]
Zn 0.0000 0.0000 0.4171 [6 per cell]
Sn 0.0000 0.0000 0.2642 [6 per cell]

Values from the calculation:
The value obtained for the formation energy from the elements is -358 meV/atom.


Record 10
CaPmZnSn: relaxed, PBE.

Lattice parameters (Å, degrees): 7.5256 7.5256 7.5256 90.00 90.00 90.00
Space group F-43m (No. 216)
One atom of each set of equivalent atoms:
Ca 0.0000 0.0000 0.0000 [4 per cell]
Pm 0.0000 0.0000 0.5000 [4 per cell]
Zn 0.2500 0.2500 0.2500 [4 per cell]
Sn 0.2500 0.2500 0.7500 [4 per cell]

Values from the calculation:
The value obtained for the formation energy from the elements is -485 meV/atom.


Record 11
SrCaPm2: relaxed, PBE.

Lattice parameters (Å, degrees): 8.5750 8.5750 8.5750 90.00 90.00 90.00
Space group Fm-3m (No. 225)
One atom of each set of equivalent atoms:
Sr 0.0000 0.0000 0.0000 [4 per cell]
Ca 0.0000 0.0000 0.5000 [4 per cell]
Pm 0.2500 0.2500 0.2500 [8 per cell]

Values from the calculation:
The value obtained for the formation energy from the elements is 200 meV/atom.


Record 12
SrCa4Pm: relaxed, PBE.

Lattice parameters (Å, degrees): 10.1871 10.1871 10.1871 90.00 90.00 90.00
Space group F-43m (No. 216)
One atom of each set of equivalent atoms:
Sr 0.0000 0.0000 0.0000 [4 per cell]
Ca 0.1243 0.1243 0.3757 [16 per cell]
Pm 0.2500 0.2500 0.7500 [4 per cell]

Values from the calculation:
The value obtained for the formation energy from the elements is 192 meV/atom.


Record 13
Sr2CaPm: relaxed, PBE.

Lattice parameters (Å, degrees): 8.9019 8.9019 8.9019 90.00 90.00 90.00
Space group Fm-3m (No. 225)
One atom of each set of equivalent atoms:
Sr 0.2500 0.2500 0.2500 [8 per cell]
Ca 0.0000 0.0000 0.0000 [4 per cell]
Pm 0.0000 0.0000 0.5000 [4 per cell]

Values from the calculation:
The value obtained for the formation energy from the elements is 146 meV/atom.


Record 14
Sr5Ca6Pm: relaxed, PBE.

Lattice parameters (Å, degrees): 18.2089 10.9971 5.8209 90.00 108.55 90.00
Space group C2/m (No. 12)
One atom of each set of equivalent atoms:
Sr 0.0000 0.0000 0.0000 [2 per cell]
Sr 0.1645 0.0000 0.6644 [4 per cell]
Sr 0.1655 0.5000 0.6655 [4 per cell]
Ca 0.0000 0.2638 0.5000 [4 per cell]
Ca 0.1620 0.2577 0.1620 [8 per cell]
Pm 0.0000 0.5000 0.0000 [2 per cell]

Values from the calculation:
The value obtained for the formation energy from the elements is 60 meV/atom.


Record 15
SrCaPm4: relaxed, PBE.

Lattice parameters (Å, degrees): 9.8470 9.8470 9.8470 90.00 90.00 90.00
Space group F-43m (No. 216)
One atom of each set of equivalent atoms:
Sr 0.0000 0.0000 0.0000 [4 per cell]
Ca 0.2500 0.2500 0.7500 [4 per cell]
Pm 0.1240 0.1240 0.3760 [16 per cell]

Values from the calculation:
The value obtained for the formation energy from the elements is 179 meV/atom.


Record 16
Sr2CaPm: relaxed, PBE.

Lattice parameters (Å, degrees): 3.8631 3.8631 41.9842 90.00 90.00 120.00
Space group R-3m (No. 166, hexagonal axes)
One atom of each set of equivalent atoms:
Sr 0.0000 0.0000 0.0868 [6 per cell]
Ca 0.0000 0.0000 0.5000 [3 per cell]
Pm 0.0000 0.0000 0.0000 [3 per cell]

Values from the calculation:
The value obtained for the formation energy from the elements is 260 meV/atom.


Record 17
Sr2CaPm: relaxed, PBE.

Lattice parameters (Å, degrees): 3.9539 3.9539 39.4959 90.00 90.00 120.00
Space group R3m (No. 160, hexagonal axes)
One atom of each set of equivalent atoms:
Sr 0.0000 0.0000 0.0000 [3 per cell]
Sr 0.0000 0.0000 0.1715 [3 per cell]
Ca 0.0000 0.0000 0.4192 [3 per cell]
Pm 0.0000 0.0000 0.5857 [3 per cell]

Values from the calculation:
The value obtained for the formation energy from the elements is 118 meV/atom.


Record 18
SrCaPm: relaxed, PBE.

Lattice parameters (Å, degrees): 3.9155 3.9155 16.4632 90.00 90.00 90.00
Space group I4mm (No. 107)
One atom of each set of equivalent atoms:
Sr 0.0000 0.0000 0.0000 [2 per cell]
Ca 0.0000 0.0000 0.6831 [2 per cell]
Pm 0.0000 0.0000 0.3337 [2 per cell]

Values from the calculation:
The value obtained for the formation energy from the elements is 128 meV/atom.


Record 19
Sr2CaPm: relaxed, PBE.

Lattice parameters (Å, degrees): 3.9404 3.9404 11.4925 90.00 90.00 90.00
Space group P4/mmm (No. 123)
One atom of each set of equivalent atoms:
Sr 0.0000 0.0000 0.2398 [2 per cell]
Ca 0.5000 0.5000 0.5000 [1 per cell]
Pm 0.5000 0.5000 0.0000 [1 per cell]

Values from the calculation:
The value obtained for the formation energy from the elements is 122 meV/atom.


Record 20
SrCa2Pm: relaxed, PBE.

Lattice parameters (Å, degrees): 6.2051 6.2051 4.2923 90.00 90.00 90.00
Space group P4/mmm (No. 123)
One atom of each set of equivalent atoms:
Sr 0.0000 0.0000 0.0000 [1 per cell]
Ca 0.0000 0.5000 0.5000 [2 per cell]
Pm 0.5000 0.5000 0.0000 [1 per cell]

Values from the calculation:
The value obtained for the formation energy from the elements is 114 meV/atom.


| no. | electronic total energy (eV per atom) |
| --- | --- |
| 1 | -4.795 |
| 2 | -4.418 |
| 3 | -3.818 |
| 4 | -4.243 |
| 5 | -4.331 |
| 6 | -3.345 |
| 7 | -4.105 |
| 8 | -3.780 |
| 9 | -3.509 |
| 10 | -3.492 |
| 11 | -3.096 |
| 12 | -2.215 |
| 13 | -2.383 |
| 14 | -2.037 |
| 15 | -3.602 |
| 16 | -2.269 |
| 17 | -2.411 |
| 18 | -2.683 |
| 19 | -2.407 |
| 20 | -2.495 |